# 1
DFT (PBE-GGA) results for crystalline Nd7IrS5 at its relaxed geometry.

a = 3.9993 Å, b = 13.4440 Å, c = 24.4652 Å
α = 90.00°, β = 90.00°, γ = 90.00°
Space group Cmc2_1 (No. 36)
Symmetry-distinct sites (fractional):
Nd (0.0000, 0.0414, 0.0000) [4 per cell]
Nd (0.0000, 0.1384, 0.2861) [4 per cell]
Nd (0.0000, 0.1381, 0.7140) [4 per cell]
Nd (0.0000, 0.3034, 0.9286) [4 per cell]
Nd (0.0000, 0.3036, 0.0714) [4 per cell]
Nd (0.0000, 0.4122, 0.3575) [4 per cell]
Nd (0.0000, 0.4119, 0.6425) [4 per cell]
Ir (0.0000, 0.3055, 0.5002) [4 per cell]
S (0.0000, 0.0504, 0.6074) [4 per cell]
S (0.0000, 0.0507, 0.3926) [4 per cell]
S (0.0000, 0.2251, 0.1785) [4 per cell]
S (0.0000, 0.2248, 0.8216) [4 per cell]
S (0.0000, 0.5002, 0.2500) [4 per cell]

Properties
Formation energy (no corrections) ... -2075 kJ/mol of formula units
E_tot ... -337.5 eV/cell

***

# 2
DFT (PBE-GGA) results for crystalline MnOsSe at its relaxed geometry.

a = 4.1918 Å, b = 4.1918 Å, c = 3.0227 Å
α = 90.00°, β = 90.00°, γ = 120.00°
Space group P-6m2 (No. 187)
Symmetry-distinct sites (fractional):
Mn (0.0000, 0.0000, 0.0000) [1 per cell]
Os (0.6667, 0.3333, 0.5000) [1 per cell]
Se (0.3333, 0.6667, 0.5000) [1 per cell]

Properties
Formation energy (no corrections) ... 106 kJ/mol of formula units
E_tot ... -22.8 eV/cell
Energy above the most stable polymorph in this dataset ... 112.1 meV per atom

***

# 3
DFT (PBE-GGA) results for crystalline PrTh2S4 at its relaxed geometry.

a = 3.9389 Å, b = 13.4571 Å, c = 13.4443 Å
α = 90.00°, β = 90.00°, γ = 90.00°
Space group Cmcm (No. 63)
Symmetry-distinct sites (fractional):
Pr (0.0000, 0.1233, 0.2500) [4 per cell]
Th (0.0000, 0.3629, 0.0666) [8 per cell]
S (0.0000, 0.0000, 0.0000) [4 per cell]
S (0.0000, 0.2763, 0.6282) [8 per cell]
S (0.0000, 0.4656, 0.2500) [4 per cell]

Properties
Formation energy (no corrections) ... -1259 kJ/mol of formula units
E_tot ... -196.7 eV/cell

***

# 4
DFT (PBE-GGA) results for crystalline Ni5Pt2Rh2 at its relaxed geometry.

a = 11.1093 Å, b = 3.7511 Å, c = 5.8693 Å
α = 90.00°, β = 108.34°, γ = 90.00°
Space group C2/m (No. 12)
Symmetry-distinct sites (fractional):
Ni (0.0000, 0.0000, 0.0000) [2 per cell]
Ni (0.1680, 0.5000, 0.9975) [4 per cell]
Ni (0.2217, 0.0000, 0.3241) [4 per cell]
Pt (0.0603, 0.5000, 0.3248) [4 per cell]
Rh (0.1191, 0.0000, 0.6769) [4 per cell]

Properties
E_tot ... -111.8 eV/cell
Energy above the most stable polymorph in this dataset ... 0.0 meV per atom
E_form ... -0.0206 eV/atom

***

# 5
DFT (PBE-GGA) results for crystalline KRbH2 at its relaxed geometry.

a = 6.9770 Å, b = 6.9770 Å, c = 6.9770 Å
α = 90.00°, β = 90.00°, γ = 90.00°
Space group Fm-3m (No. 225)
Symmetry-distinct sites (fractional):
K (0.0000, 0.0000, 0.0000) [4 per cell]
Rb (0.0000, 0.0000, 0.5000) [4 per cell]
H (0.2500, 0.2500, 0.2500) [8 per cell]

Properties
E_tot ... -36.9 eV/cell
Energy above the most stable polymorph in this dataset ... 77.1 meV per atom

***

# 6
DFT (PBE-GGA) results for crystalline LaYW2 at its relaxed geometry.

a = 8.1075 Å, b = 8.1075 Å, c = 5.7327 Å
α = 90.00°, β = 90.00°, γ = 90.00°
Space group I-42d (No. 122)
Symmetry-distinct sites (fractional):
La (0.0000, 0.0000, 0.0000) [4 per cell]
Y (0.0000, 0.0000, 0.5000) [4 per cell]
W (0.2454, 0.2500, 0.6250) [8 per cell]

Properties
E_tot ... -127.5 eV/cell
Energy above the most stable polymorph in this dataset ... 1066.9 meV per atom
E_form ... 1.3567 eV/atom

***

# 7
DFT (PBE-GGA) results for crystalline Na2LaCrN4 at its relaxed geometry.

a = 6.8135 Å, b = 6.8210 Å, c = 5.6240 Å
α = 90.00°, β = 90.00°, γ = 90.00°
Space group Pmn2_1 (No. 31)
Symmetry-distinct sites (fractional):
Na (0.2342, 0.1311, 0.0000) [4 per cell]
La (0.0000, 0.4065, 0.5121) [2 per cell]
Cr (0.0000, 0.6811, 0.9868) [2 per cell]
N (0.0000, 0.4269, 0.0329) [2 per cell]
N (0.0000, 0.7155, 0.6818) [2 per cell]
N (0.2151, 0.7875, 0.0944) [4 per cell]

Properties
Formation energy (no corrections) ... -379 kJ/mol of formula units
E_tot ... -108.8 eV/cell

***

# 8
DFT (PBE-GGA) results for crystalline LiEr2TmPd4 at its relaxed geometry.

a = 4.8326 Å, b = 4.8326 Å, c = 23.2886 Å
α = 90.00°, β = 90.00°, γ = 120.00°
Space group R-3m (No. 166, hexagonal axes)
Symmetry-distinct sites (fractional):
Li (0.0000, 0.0000, 0.0000) [3 per cell]
Er (0.0000, 0.0000, 0.2570) [6 per cell]
Tm (0.0000, 0.0000, 0.5000) [3 per cell]
Pd (0.0000, 0.0000, 0.1261) [6 per cell]
Pd (0.0000, 0.0000, 0.3787) [6 per cell]

Properties
E_tot ... -128.8 eV/cell
E_form ... -0.8299 eV/atom

***

# 9
DFT (PBE-GGA) results for crystalline Dy5BiC at its relaxed geometry.

a = 11.7941 Å, b = 8.1989 Å, c = 9.3980 Å
α = 90.00°, β = 113.36°, γ = 90.00°
Space group C2/c (No. 15)
Symmetry-distinct sites (fractional):
Dy (0.0000, 0.0590, 0.2500) [4 per cell]
Dy (0.0864, 0.2721, 0.9731) [8 per cell]
Dy (0.2083, 0.1073, 0.6388) [8 per cell]
Bi (0.0000, 0.4244, 0.2500) [4 per cell]
C (0.0000, 0.0000, 0.0000) [4 per cell]

Properties
E_tot ... -149.2 eV/cell
E_form ... -0.1679 eV/atom

***

# 10
DFT (PBE-GGA) results for crystalline LaTb2SmEr at its relaxed geometry.

a = 8.4637 Å, b = 11.5810 Å, c = 7.2301 Å
α = 90.00°, β = 90.00°, γ = 90.00°
Space group Cmcm (No. 63)
Symmetry-distinct sites (fractional):
La (0.0000, 0.2329, 0.2500) [4 per cell]
Tb (0.1886, 0.0000, 0.0000) [8 per cell]
Sm (0.0000, 0.4970, 0.2500) [4 per cell]
Er (0.0000, 0.2205, 0.7500) [4 per cell]

Properties
E_tot ... -86.6 eV/cell
E_form ... 0.3654 eV/atom

***

# 11
DFT (PBE-GGA) results for crystalline K7Th6F31 at its relaxed geometry.

a = 15.4813 Å, b = 15.4813 Å, c = 10.6872 Å
α = 90.00°, β = 90.00°, γ = 120.00°
Space group R3 (No. 146, hexagonal axes)
Symmetry-distinct sites (fractional):
K (0.0000, 0.0000, 0.0000) [3 per cell]
K (0.0239, 0.5830, 0.6644) [9 per cell]
K (0.1053, 0.3576, 0.6761) [9 per cell]
Th (0.0500, 0.1805, 0.3259) [9 per cell]
Th (0.1932, 0.7213, 0.3492) [9 per cell]
F (0.0000, 0.0000, 0.4200) [3 per cell]
F (0.0247, 0.5765, 0.9306) [9 per cell]
F (0.0340, 0.1203, 0.7112) [9 per cell]
F (0.0386, 0.6076, 0.4090) [9 per cell]
F (0.0443, 0.8416, 0.4982) [9 per cell]
F (0.0541, 0.1836, 0.1126) [9 per cell]
F (0.0967, 0.3761, 0.9307) [9 per cell]
F (0.1128, 0.3501, 0.4110) [9 per cell]
F (0.1386, 0.1000, 0.2582) [9 per cell]
F (0.1789, 0.4615, 0.1701) [9 per cell]
F (0.1808, 0.1256, 0.8911) [9 per cell]

Properties
Formation energy (no corrections) ... -16141 kJ/mol of formula units
E_tot ... -832.5 eV/cell

***

# 12
DFT (PBE-GGA) results for crystalline Pm3Tl3HgPb2 at its relaxed geometry.

a = 8.2052 Å, b = 8.2052 Å, c = 4.5193 Å
α = 90.00°, β = 90.00°, γ = 120.00°
Space group P-62m (No. 189)
Symmetry-distinct sites (fractional):
Pm (0.0000, 0.3854, 0.0000) [3 per cell]
Tl (0.0000, 0.7442, 0.5000) [3 per cell]
Hg (0.0000, 0.0000, 0.0000) [1 per cell]
Pb (0.3333, 0.6667, 0.5000) [2 per cell]

Properties
E_tot ... -31.9 eV/cell
E_form ... -0.3163 eV/atom

***

# 13
DFT (PBE-GGA) results for crystalline SnHg3Pb7 at its relaxed geometry.

a = 10.5296 Å, b = 11.6226 Å, c = 6.2912 Å
α = 90.00°, β = 115.29°, γ = 90.00°
Space group C2/m (No. 12)
Symmetry-distinct sites (fractional):
Sn (0.0000, 0.0000, 0.0000) [2 per cell]
Hg (0.0000, 0.2654, 0.5000) [4 per cell]
Hg (0.0000, 0.5000, 0.0000) [2 per cell]
Pb (0.0000, 0.0000, 0.5000) [2 per cell]
Pb (0.1721, 0.2541, 0.1768) [8 per cell]
Pb (0.1829, 0.5000, 0.5497) [4 per cell]

Properties
E_tot ... -59.6 eV/cell
E_form ... 0.0980 eV/atom

***

# 14
DFT (PBE-GGA) results for crystalline Hg7C at its relaxed geometry.

a = 9.1544 Å, b = 9.1544 Å, c = 9.1544 Å
α = 90.00°, β = 90.00°, γ = 90.00°
Space group Fm-3m (No. 225)
Symmetry-distinct sites (fractional):
Hg (0.0000, 0.0000, 0.0000) [4 per cell]
Hg (0.0000, 0.2500, 0.2500) [24 per cell]
C (0.0000, 0.0000, 0.5000) [4 per cell]

Properties
E_tot ... -18.5 eV/cell
E_form ... 0.8388 eV/atom

***

# 15
DFT (PBE-GGA) results for crystalline Cs3GeSe4 at its relaxed geometry.

a = 15.8894 Å, b = 11.1743 Å, c = 7.8839 Å
α = 90.00°, β = 90.00°, γ = 90.00°
Space group Pnma (No. 62)
Symmetry-distinct sites (fractional):
Cs (0.0535, 0.2500, 0.1006) [4 per cell]
Cs (0.1463, 0.0026, 0.6333) [8 per cell]
Ge (0.1168, 0.7500, 0.2644) [4 per cell]
Se (0.0037, 0.7500, 0.4605) [4 per cell]
Se (0.1107, 0.5694, 0.1041) [8 per cell]
Se (0.2497, 0.2500, 0.8976) [4 per cell]

Properties
Formation energy (no corrections) ... -660 kJ/mol of formula units
E_tot ... -111.8 eV/cell

***

# 16
DFT (PBE-GGA) results for crystalline Ca2AcCd at its relaxed geometry.

a = 3.9206 Å, b = 3.9206 Å, c = 33.9046 Å
α = 90.00°, β = 90.00°, γ = 120.00°
Space group R3m (No. 160, hexagonal axes)
Symmetry-distinct sites (fractional):
Ca (0.0000, 0.0000, 0.0000) [3 per cell]
Ca (0.0000, 0.0000, 0.1926) [3 per cell]
Ac (0.0000, 0.0000, 0.7622) [3 per cell]
Cd (0.0000, 0.0000, 0.5966) [3 per cell]

Properties
E_tot ... -28.0 eV/cell
Energy above the most stable polymorph in this dataset ... 80.5 meV per atom
E_form ... -0.0757 eV/atom

***

# 17
DFT (PBE-GGA) results for crystalline Sr2ErPb9 at its relaxed geometry.

a = 4.9912 Å, b = 4.9912 Å, c = 14.8328 Å
α = 90.00°, β = 90.00°, γ = 90.00°
Space group P4/mmm (No. 123)
Symmetry-distinct sites (fractional):
Sr (0.0000, 0.0000, 0.1722) [2 per cell]
Er (0.0000, 0.0000, 0.5000) [1 per cell]
Pb (0.0000, 0.5000, 0.0000) [2 per cell]
Pb (0.0000, 0.5000, 0.3409) [4 per cell]
Pb (0.5000, 0.5000, 0.1689) [2 per cell]
Pb (0.5000, 0.5000, 0.5000) [1 per cell]

Properties
E_tot ... -45.2 eV/cell
E_form ... -0.3211 eV/atom

***

# 18
DFT (PBE-GGA) results for crystalline InCo2IrN at its relaxed geometry.

a = 3.8953 Å, b = 3.8953 Å, c = 4.1442 Å
α = 90.00°, β = 90.00°, γ = 90.00°
Space group P4/mmm (No. 123)
Symmetry-distinct sites (fractional):
In (0.0000, 0.0000, 0.0000) [1 per cell]
Co (0.0000, 0.5000, 0.5000) [2 per cell]
Ir (0.5000, 0.5000, 0.0000) [1 per cell]
N (0.5000, 0.5000, 0.5000) [1 per cell]

Properties
Formation energy (no corrections) ... 70 kJ/mol of formula units
E_tot ... -33.4 eV/cell

***

# 19
DFT (PBE-GGA) results for crystalline GdDyCoAu at its relaxed geometry.

a = 7.0129 Å, b = 7.0129 Å, c = 7.0129 Å
α = 90.00°, β = 90.00°, γ = 90.00°
Space group F-43m (No. 216)
Symmetry-distinct sites (fractional):
Gd (0.0000, 0.0000, 0.0000) [4 per cell]
Dy (0.0000, 0.0000, 0.5000) [4 per cell]
Co (0.2500, 0.2500, 0.2500) [4 per cell]
Au (0.2500, 0.2500, 0.7500) [4 per cell]

Properties
E_tot ... -123.0 eV/cell
E_form ... -0.4213 eV/atom

***

# 20
DFT (PBE-GGA) results for crystalline CeHf2Nb at its relaxed geometry.

a = 7.0553 Å, b = 7.0553 Å, c = 7.0553 Å
α = 90.00°, β = 90.00°, γ = 90.00°
Space group Fm-3m (No. 225)
Symmetry-distinct sites (fractional):
Ce (0.0000, 0.0000, 0.0000) [4 per cell]
Hf (0.2500, 0.2500, 0.2500) [8 per cell]
Nb (0.0000, 0.0000, 0.5000) [4 per cell]

Properties
E_tot ... -140.6 eV/cell
Energy above the most stable polymorph in this dataset ... 65.5 meV per atom
E_form ... 0.1894 eV/atom